#w
DFT (PBEsol) results for a relaxed structure of BaCaSb2.

Cell and atoms, written as CIF:
```
data_BaCaSb2
_chemical_formula_sum 'Ba1 Ca1 Sb2'
_cell_length_a 4.179
_cell_length_b 4.179
_cell_length_c 7.217
_cell_angle_alpha 90.00
_cell_angle_beta 90.00
_cell_angle_gamma 90.00
_symmetry_space_group_name_H-M 'P 4/m m m'
_symmetry_Int_Tables_number 123
_symmetry_space_group_name_Hall '-P 4 2'
loop_
_atom_site_label
_atom_site_fract_x
_atom_site_fract_y
_atom_site_fract_z
_atom_site_occupancy
Ba1 0.000 0.000 0.000 1
Ca1 0.000 0.000 0.500 1
Sb1 0.500 0.500 0.290 1
```

#x
DFT (PBEsol) results for a relaxed structure of BaCaSb2.

Cell and atoms, written as CIF:
```
data_BaCaSb2
_chemical_formula_sum 'Ba1 Ca1 Sb2'
_cell_length_a 3.596
_cell_length_b 5.706
_cell_length_c 6.689
_cell_angle_alpha 90.00
_cell_angle_beta 90.00
_cell_angle_gamma 90.00
_symmetry_space_group_name_H-M 'P m m m'
_symmetry_Int_Tables_number 47
loop_
_symmetry_equiv_pos_as_xyz
'x,y,z'
'-x,-y,-z'
'-x,-y,z'
'x,y,-z'
'x,-y,-z'
'-x,y,z'
'-x,y,-z'
'x,-y,z'
loop_
_atom_site_label
_atom_site_fract_x
_atom_site_fract_y
_atom_site_fract_z
_atom_site_occupancy
Ba1 0.000 0.000 0.000 1
Ca1 0.500 0.500 0.500 1
Sb1 0.000 0.000 0.500 1
Sb2 0.500 0.500 0.000 1
```

Tell me which of them is the least stable. Sure, it is #x.

#w
DFT (PBEsol) results for a relaxed structure of Ba2CaSc.

Cell and atoms, written as CIF:
```
data_Ba2CaSc
_chemical_formula_sum 'Ba4 Ca2 Sc2'
_cell_length_a 4.259
_cell_length_b 6.141
_cell_length_c 12.519
_cell_angle_alpha 90.00
_cell_angle_beta 90.00
_cell_angle_gamma 90.00
_symmetry_space_group_name_H-M 'I m m m'
_symmetry_Int_Tables_number 71
_symmetry_space_group_name_Hall '-I 2 2'
loop_
_atom_site_label
_atom_site_fract_x
_atom_site_fract_y
_atom_site_fract_z
_atom_site_occupancy
Ba1 0.000 0.000 0.227 1
Ca1 0.000 0.500 0.000 1
Sc1 0.000 0.500 0.500 1
```

#x
DFT (PBEsol) results for a relaxed structure of Ba2CaSc.

Cell and atoms, written as CIF:
```
data_Ba2CaSc
_chemical_formula_sum 'Ba8 Ca4 Sc4'
_cell_length_a 8.682
_cell_length_b 8.682
_cell_length_c 8.682
_cell_angle_alpha 90.00
_cell_angle_beta 90.00
_cell_angle_gamma 90.00
_symmetry_space_group_name_H-M 'F -4 3 m'
_symmetry_Int_Tables_number 216
_symmetry_space_group_name_Hall 'F -4 2 3'
loop_
_atom_site_label
_atom_site_fract_x
_atom_site_fract_y
_atom_site_fract_z
_atom_site_occupancy
Ba1 0.000 0.000 0.000 1
Ba2 0.250 0.250 0.250 1
Ca1 0.000 0.000 0.500 1
Sc1 0.250 0.250 0.750 1
```

Tell me which of them is the least stable. Sure, it is #w.

#w
DFT (PBEsol) results for a relaxed structure of BaCaSe.

Cell and atoms, written as CIF:
```
data_BaCaSe
_chemical_formula_sum 'Ba4 Ca4 Se4'
_cell_length_a 7.382
_cell_length_b 7.382
_cell_length_c 7.382
_cell_angle_alpha 90.00
_cell_angle_beta 90.00
_cell_angle_gamma 90.00
_symmetry_space_group_name_H-M 'F -4 3 m'
_symmetry_Int_Tables_number 216
_symmetry_space_group_name_Hall 'F -4 2 3'
loop_
_atom_site_label
_atom_site_fract_x
_atom_site_fract_y
_atom_site_fract_z
_atom_site_occupancy
Ba1 0.000 0.000 0.000 1
Ca1 0.000 0.000 0.500 1
Se1 0.250 0.250 0.750 1
```

#x
DFT (PBEsol) results for a relaxed structure of BaCaSe.

Cell and atoms, written as CIF:
```
data_BaCaSe
_chemical_formula_sum 'Ba1 Ca1 Se1'
_cell_length_a 4.2534
_cell_length_b 4.2534
_cell_length_c 7.3651
_cell_angle_alpha 90.00
_cell_angle_beta 90.00
_cell_angle_gamma 120.00
_symmetry_space_group_name_H-M 'P 3 m 1'
_symmetry_Int_Tables_number 156
loop_
_symmetry_equiv_pos_as_xyz
'x,y,z'
'-y,x-y,z'
'-x+y,-x,z'
'-y,-x,z'
'-x+y,y,z'
'x,x-y,z'
loop_
_atom_site_label
_atom_site_fract_x
_atom_site_fract_y
_atom_site_fract_z
_atom_site_occupancy
Ba1 0.0000 0.0000 0.0000 1
Ca1 0.3333 0.6667 0.4976 1
Se1 0.6667 0.3333 0.2858 1
```

Tell me which of them is the least stable. Sure, it is #w.

#w
DFT (PBEsol) results for a relaxed structure of BaCaSi2.

Cell and atoms, written as CIF:
```
data_BaCaSi2
_chemical_formula_sum 'Ba1 Ca1 Si2'
_cell_length_a 3.946
_cell_length_b 3.946
_cell_length_c 6.837
_cell_angle_alpha 90.00
_cell_angle_beta 90.00
_cell_angle_gamma 90.00
_symmetry_space_group_name_H-M 'P 4/m m m'
_symmetry_Int_Tables_number 123
_symmetry_space_group_name_Hall '-P 4 2'
loop_
_atom_site_label
_atom_site_fract_x
_atom_site_fract_y
_atom_site_fract_z
_atom_site_occupancy
Ba1 0.000 0.000 0.000 1
Ca1 0.000 0.000 0.500 1
Si1 0.500 0.500 0.328 1
```

#x
DFT (PBEsol) results for a relaxed structure of BaCaSi2.

Cell and atoms, written as CIF:
```
data_BaCaSi2
_chemical_formula_sum 'Ba1 Ca1 Si2'
_cell_length_a 4.831
_cell_length_b 4.831
_cell_length_c 4.442
_cell_angle_alpha 90.00
_cell_angle_beta 90.00
_cell_angle_gamma 90.00
_symmetry_space_group_name_H-M 'P 4/m m m'
_symmetry_Int_Tables_number 123
_symmetry_space_group_name_Hall '-P 4 2'
loop_
_atom_site_label
_atom_site_fract_x
_atom_site_fract_y
_atom_site_fract_z
_atom_site_occupancy
Ba1 0.000 0.000 0.000 1
Ca1 0.500 0.500 0.000 1
Si1 0.000 0.500 0.500 1
```

Tell me which of them is the least stable. Sure, it is #x.

#w
DFT (PBEsol) results for a relaxed structure of BaSrCa2.

Cell and atoms, written as CIF:
```
data_BaSrCa2
_chemical_formula_sum 'Ba3 Sr3 Ca6'
_cell_length_a 4.0465
_cell_length_b 4.0465
_cell_length_c 39.8439
_cell_angle_alpha 90.00
_cell_angle_beta 90.00
_cell_angle_gamma 120.00
_symmetry_space_group_name_H-M 'R -3 m'
_symmetry_Int_Tables_number 166
_symmetry_space_group_name_Hall '-R 3 2"'
loop_
_atom_site_label
_atom_site_fract_x
_atom_site_fract_y
_atom_site_fract_z
_atom_site_occupancy
Ba1 0.0000 0.0000 0.0000 1
Sr1 0.0000 0.0000 0.5000 1
Ca1 0.0000 0.0000 0.2487 1
```

#x
DFT (PBEsol) results for a relaxed structure of BaSrCa2.

Cell and atoms, written as CIF:
```
data_BaSrCa2
_chemical_formula_sum 'Ba2 Sr2 Ca4'
_cell_length_a 13.495
_cell_length_b 4.059
_cell_length_c 7.054
_cell_angle_alpha 90.00
_cell_angle_beta 100.07
_cell_angle_gamma 90.00
_symmetry_space_group_name_H-M 'C 1 m 1'
_symmetry_Int_Tables_number 8
loop_
_symmetry_equiv_pos_as_xyz
'x,y,z'
'x,-y,z'
'x+1/2,y+1/2,z'
'x+1/2,-y+1/2,z'
loop_
_atom_site_label
_atom_site_fract_x
_atom_site_fract_y
_atom_site_fract_z
_atom_site_occupancy
Ba1 0.000 0.000 0.000 1
Sr1 0.257 0.500 0.271 1
Ca1 0.007 0.500 0.510 1
Ca2 0.248 0.000 0.754 1
```

Tell me which of them is the least stable. Sure, it is #w.

#w
DFT (PBEsol) results for a relaxed structure of BaSrCa2.

Cell and atoms, written as CIF:
```
data_BaSrCa2
_chemical_formula_sum 'Ba2 Sr2 Ca4'
_cell_length_a 4.461
_cell_length_b 6.522
_cell_length_c 12.986
_cell_angle_alpha 90.00
_cell_angle_beta 90.00
_cell_angle_gamma 90.00
_symmetry_space_group_name_H-M 'I m m 2'
_symmetry_Int_Tables_number 44
loop_
_symmetry_equiv_pos_as_xyz
'x,y,z'
'-x,-y,z'
'-x,y,z'
'x,-y,z'
'x+1/2,y+1/2,z+1/2'
'-x+1/2,-y+1/2,z+1/2'
'-x+1/2,y+1/2,z+1/2'
'x+1/2,-y+1/2,z+1/2'
loop_
_atom_site_label
_atom_site_fract_x
_atom_site_fract_y
_atom_site_fract_z
_atom_site_occupancy
Ba1 0.000 0.000 0.000 1
Sr1 0.000 0.500 0.236 1
Ca1 0.000 0.000 0.488 1
Ca2 0.000 0.500 0.755 1
```

#x
DFT (PBEsol) results for a relaxed structure of BaSrCa2.

Cell and atoms, written as CIF:
```
data_BaSrCa2
_chemical_formula_sum 'Ba2 Sr2 Ca4'
_cell_length_a 13.452
_cell_length_b 4.024
_cell_length_c 7.082
_cell_angle_alpha 90.00
_cell_angle_beta 99.11
_cell_angle_gamma 90.00
_symmetry_space_group_name_H-M 'C 1 2/m 1'
_symmetry_Int_Tables_number 12
loop_
_symmetry_equiv_pos_as_xyz
'x,y,z'
'-x,-y,-z'
'-x,y,-z'
'x,-y,z'
'x+1/2,y+1/2,z'
'-x+1/2,-y+1/2,-z'
'-x+1/2,y+1/2,-z'
'x+1/2,-y+1/2,z'
loop_
_atom_site_label
_atom_site_fract_x
_atom_site_fract_y
_atom_site_fract_z
_atom_site_occupancy
Ba1 0.000 0.000 0.000 1
Sr1 0.000 0.500 0.500 1
Ca1 0.249 0.000 0.746 1
```

#y
DFT (PBEsol) results for a relaxed structure of BaSrCa2.

Cell and atoms, written as CIF:
```
data_BaSrCa2
_chemical_formula_sum 'Ba4 Sr4 Ca8'
_cell_length_a 9.071
_cell_length_b 9.071
_cell_length_c 9.071
_cell_angle_alpha 90.00
_cell_angle_beta 90.00
_cell_angle_gamma 90.00
_symmetry_space_group_name_H-M 'F -4 3 m'
_symmetry_Int_Tables_number 216
_symmetry_space_group_name_Hall 'F -4 2 3'
loop_
_atom_site_label
_atom_site_fract_x
_atom_site_fract_y
_atom_site_fract_z
_atom_site_occupancy
Ba1 0.000 0.000 0.000 1
Sr1 0.250 0.250 0.250 1
Ca1 0.000 0.000 0.500 1
Ca2 0.250 0.250 0.750 1
```

Tell me which of them is the least stable. Sure, it is #x.

#w
DFT (PBEsol) results for a relaxed structure of BaCaTa2.

Cell and atoms, written as CIF:
```
data_BaCaTa2
_chemical_formula_sum 'Ba2 Ca2 Ta4'
_cell_length_a 11.118
_cell_length_b 3.039
_cell_length_c 6.338
_cell_angle_alpha 90.00
_cell_angle_beta 93.50
_cell_angle_gamma 90.00
_symmetry_space_group_name_H-M 'C 1 2/m 1'
_symmetry_Int_Tables_number 12
loop_
_symmetry_equiv_pos_as_xyz
'x,y,z'
'-x,-y,-z'
'-x,y,-z'
'x,-y,z'
'x+1/2,y+1/2,z'
'-x+1/2,-y+1/2,-z'
'-x+1/2,y+1/2,-z'
'x+1/2,-y+1/2,z'
loop_
_atom_site_label
_atom_site_fract_x
_atom_site_fract_y
_atom_site_fract_z
_atom_site_occupancy
Ba1 0.000 0.000 0.000 1
Ca1 0.000 0.500 0.500 1
Ta1 0.244 0.000 0.677 1
```

#x
DFT (PBEsol) results for a relaxed structure of BaCaTa2.

Cell and atoms, written as CIF:
```
data_BaCaTa2
_chemical_formula_sum 'Ba2 Ca2 Ta4'
_cell_length_a 3.330
_cell_length_b 5.921
_cell_length_c 11.271
_cell_angle_alpha 90.00
_cell_angle_beta 90.00
_cell_angle_gamma 90.00
_symmetry_space_group_name_H-M 'I m m 2'
_symmetry_Int_Tables_number 44
loop_
_symmetry_equiv_pos_as_xyz
'x,y,z'
'-x,-y,z'
'-x,y,z'
'x,-y,z'
'x+1/2,y+1/2,z+1/2'
'-x+1/2,-y+1/2,z+1/2'
'-x+1/2,y+1/2,z+1/2'
'x+1/2,-y+1/2,z+1/2'
loop_
_atom_site_label
_atom_site_fract_x
_atom_site_fract_y
_atom_site_fract_z
_atom_site_occupancy
Ba1 0.000 0.000 0.000 1
Ca1 0.000 0.500 0.798 1
Ta1 0.000 0.000 0.564 1
Ta2 0.000 0.500 0.234 1
```

Tell me which of them is the least stable. Sure, it is #w.